VASP calculation (PBE-GGA) on crystalline TlCuPO2 at its relaxed geometry.

## Properties
Density of states at the Fermi level, states/eV per cell: 4.31
Mass density, g cm⁻³: 5.8
Volume, A^3/atom: 19.075
Formation energy (no corrections), eV per formula unit: 4.0
Excess energy over the best structure of this formula in the dataset, eV per atom: 0.633

The structure in CIF format:
```
data_TlCuPO2
_chemical_formula_sum 'Tl1 Cu1 P1 O2'
_cell_length_a 4.0213
_cell_length_b 4.0213
_cell_length_c 5.8979
_cell_angle_alpha 90.00
_cell_angle_beta 90.00
_cell_angle_gamma 90.00
_space_group_name_H-M_alt 'P 1'
_space_group_IT_number 1
loop_
_space_group_symop_operation_xyz
'x,y,z'
loop_
_atom_site_label
_atom_site_type_symbol
_atom_site_fract_x
_atom_site_fract_y
_atom_site_fract_z
_atom_site_occupancy
O1 O 0.0000 0.5000 0.0000 1
P1 P 0.0000 0.0000 0.5000 1
Cu1 Cu 0.5000 0.5000 0.5000 1
O2 O 0.5000 0.0000 0.0000 1
Tl1 Tl 0.0000 0.0000 0.0000 1
```

VASP calculation (PBE-GGA) on crystalline TlCuPO4 at its relaxed geometry.

## Properties
Density of states at the Fermi level, states/eV per cell: 2.10
Mass density, g cm⁻³: 5.3
Volume, A^3/atom: 16.363
Formation energy (no corrections), eV per formula unit: -10.0
Excess energy over the best structure of this formula in the dataset, eV per atom: 0.086

The structure in CIF format:
```
data_TlCuPO4
_chemical_formula_sum 'Tl1 Cu1 P1 O4'
_cell_length_a 5.8030
_cell_length_b 5.8030
_cell_length_c 5.3298
_cell_angle_alpha 122.98
_cell_angle_beta 122.98
_cell_angle_gamma 90.00
_space_group_name_H-M_alt 'P 1'
_space_group_IT_number 1
loop_
_space_group_symop_operation_xyz
'x,y,z'
loop_
_atom_site_label
_atom_site_type_symbol
_atom_site_fract_x
_atom_site_fract_y
_atom_site_fract_z
_atom_site_occupancy
O1 O 0.9184 0.5315 0.2436 1
O2 O 0.2880 0.0816 0.7564 1
Tl1 Tl 0.0000 0.0000 0.0000 1
O3 O 0.3251 0.7120 0.2436 1
Cu1 Cu 0.5000 0.5000 0.0000 1
P1 P 0.2500 0.7500 0.5000 1
O4 O 0.4685 0.6749 0.7564 1
```

VASP calculation (PBE-GGA) on crystalline TlCuP2O at its relaxed geometry.

## Properties
Density of states at the Fermi level, states/eV per cell: 6.28
Mass density, g cm⁻³: 5.2
Volume, A^3/atom: 21.911
Formation energy (no corrections), eV per formula unit: 6.4
Excess energy over the best structure of this formula in the dataset, eV per atom: 0.835

The structure in CIF format:
```
data_TlCuP2O
_chemical_formula_sum 'Tl1 Cu1 P2 O1'
_cell_length_a 5.2190
_cell_length_b 5.2190
_cell_length_c 4.0222
_cell_angle_alpha 90.00
_cell_angle_beta 90.00
_cell_angle_gamma 90.00
_space_group_name_H-M_alt 'P 1'
_space_group_IT_number 1
loop_
_space_group_symop_operation_xyz
'x,y,z'
loop_
_atom_site_label
_atom_site_type_symbol
_atom_site_fract_x
_atom_site_fract_y
_atom_site_fract_z
_atom_site_occupancy
Tl1 Tl 0.0000 0.0000 0.0000 1
P1 P 0.0000 0.5000 0.0000 1
Cu1 Cu 0.5000 0.5000 0.5000 1
P2 P 0.5000 0.0000 0.0000 1
O1 O 0.0000 0.0000 0.5000 1
```

VASP calculation (PBE-GGA) on crystalline TlCuP2O at its relaxed geometry.

## Properties
Density of states at the Fermi level, states/eV per cell: 3.68
Mass density, g cm⁻³: 6.7
Volume, A^3/atom: 17.073
Formation energy (no corrections), eV per formula unit: 2.2
Excess energy over the best structure of this formula in the dataset, eV per atom: 0.000

The structure in CIF format:
```
data_TlCuP2O
_chemical_formula_sum 'Tl1 Cu1 P2 O1'
_cell_length_a 4.8566
_cell_length_b 3.6191
_cell_length_c 4.8566
_cell_angle_alpha 90.00
_cell_angle_beta 90.00
_cell_angle_gamma 90.00
_space_group_name_H-M_alt 'P 1'
_space_group_IT_number 1
loop_
_space_group_symop_operation_xyz
'x,y,z'
loop_
_atom_site_label
_atom_site_type_symbol
_atom_site_fract_x
_atom_site_fract_y
_atom_site_fract_z
_atom_site_occupancy
Tl1 Tl 0.5000 0.5000 0.5000 1
P1 P 0.0000 0.0000 0.5000 1
O1 O 0.0000 0.5000 0.0000 1
Cu1 Cu 0.0000 0.0000 0.0000 1
P2 P 0.5000 0.0000 0.0000 1
```

VASP calculation (PBE-GGA) on crystalline Tl2CuP2O6 at its relaxed geometry.

## Properties
Density of states at the Fermi level, states/eV per cell: 2.74
Mass density, g cm⁻³: 6.6
Volume, A^3/atom: 14.495
Formation energy (no corrections), eV per formula unit: -15.5

The structure in CIF format:
```
data_Tl2CuP2O6
_chemical_formula_sum 'Tl2 Cu1 P2 O6'
_cell_length_a 5.7646
_cell_length_b 5.7646
_cell_length_c 6.4633
_cell_angle_alpha 63.52
_cell_angle_beta 63.52
_cell_angle_gamma 60.00
_space_group_name_H-M_alt 'P 1'
_space_group_IT_number 1
loop_
_space_group_symop_operation_xyz
'x,y,z'
loop_
_atom_site_label
_atom_site_type_symbol
_atom_site_fract_x
_atom_site_fract_y
_atom_site_fract_z
_atom_site_occupancy
O1 O 0.7099 0.2584 0.7732 1
Tl1 Tl 0.7777 0.7777 0.6670 1
P1 P 0.4305 0.4305 0.7085 1
Tl2 Tl 0.2223 0.2223 0.3330 1
O2 O 0.2584 0.2584 0.7732 1
Cu1 Cu 0.0000 0.0000 0.0000 1
P2 P 0.5695 0.5695 0.2915 1
O3 O 0.2584 0.7099 0.7732 1
O4 O 0.2901 0.7416 0.2268 1
O5 O 0.7416 0.7416 0.2268 1
O6 O 0.7416 0.2901 0.2268 1
```

VASP calculation (PBE-GGA) on crystalline TlCuPO4 at its relaxed geometry.

## Properties
Density of states at the Fermi level, states/eV per cell: 4.03
Mass density, g cm⁻³: 5.4
Volume, A^3/atom: 16.078
Formation energy (no corrections), eV per formula unit: -10.6
Excess energy over the best structure of this formula in the dataset, eV per atom: 0.000

The structure in CIF format:
```
data_TlCuPO4
_chemical_formula_sum 'Tl4 Cu4 P4 O16'
_cell_length_a 4.9431
_cell_length_b 4.9431
_cell_length_c 18.4907
_cell_angle_alpha 86.64
_cell_angle_beta 86.64
_cell_angle_gamma 88.89
_space_group_name_H-M_alt 'P 1'
_space_group_IT_number 1
loop_
_space_group_symop_operation_xyz
'x,y,z'
loop_
_atom_site_label
_atom_site_type_symbol
_atom_site_fract_x
_atom_site_fract_y
_atom_site_fract_z
_atom_site_occupancy
O1 O 0.0332 0.7861 0.1621 1
Tl1 Tl 0.2204 0.7941 0.9359 1
Tl2 Tl 0.7941 0.2204 0.4359 1
O2 O 0.7861 0.0332 0.6621 1
Cu1 Cu 0.1876 0.3094 0.7504 1
O3 O 0.2139 0.9668 0.3379 1
O4 O 0.4097 0.4064 0.6632 1
Cu2 Cu 0.8124 0.6906 0.2496 1
P1 P 0.2823 0.6601 0.3520 1
P2 P 0.6601 0.2823 0.8520 1
O5 O 0.1205 0.4989 0.2959 1
P3 P 0.3399 0.7177 0.1480 1
O6 O 0.4064 0.4097 0.1632 1
O7 O 0.4370 0.8056 0.0705 1
O8 O 0.1944 0.5630 0.4295 1
O9 O 0.9668 0.2139 0.8379 1
Cu3 Cu 0.3094 0.1876 0.2504 1
O10 O 0.8056 0.4370 0.5705 1
O11 O 0.4989 0.1205 0.7959 1
O12 O 0.5630 0.1944 0.9295 1
O13 O 0.8795 0.5011 0.7041 1
Tl3 Tl 0.7796 0.2059 0.0641 1
O14 O 0.5011 0.8795 0.2041 1
O15 O 0.5903 0.5936 0.3368 1
Cu4 Cu 0.6906 0.8124 0.7496 1
Tl4 Tl 0.2059 0.7796 0.5641 1
O16 O 0.5936 0.5903 0.8368 1
P4 P 0.7177 0.3399 0.6480 1
```

VASP calculation (PBE-GGA) on crystalline U2CuP2O20 at its relaxed geometry.

## Properties
Density of states at the Fermi level, states/eV per cell: 23.46
Mass density, g cm⁻³: 3.4
Volume, A^3/atom: 17.853
Formation energy (no corrections), eV per formula unit: -29.1

The structure in CIF format:
```
data_U2CuP2O20
_chemical_formula_sum 'U2 Cu1 P2 O20'
_cell_length_a 7.0102
_cell_length_b 7.0102
_cell_length_c 9.0819
_cell_angle_alpha 90.00
_cell_angle_beta 90.00
_cell_angle_gamma 90.00
_space_group_name_H-M_alt 'P 1'
_space_group_IT_number 1
loop_
_space_group_symop_operation_xyz
'x,y,z'
loop_
_atom_site_label
_atom_site_type_symbol
_atom_site_fract_x
_atom_site_fract_y
_atom_site_fract_z
_atom_site_occupancy
P1 P 0.5000 0.0000 0.9977 1
O1 O 0.5000 0.8217 0.8973 1
O2 O 0.5000 0.5000 0.0945 1
O3 O 0.5000 0.2474 0.4037 1
O4 O 0.1783 0.5000 0.8973 1
O5 O 0.0000 0.0000 0.9074 1
O6 O 0.0000 0.3219 0.0982 1
O7 O 0.7526 0.5000 0.4037 1
O8 O 0.0000 0.6781 0.0982 1
O9 O 0.2474 0.5000 0.4037 1
U1 U 0.0000 0.0000 0.1071 1
O10 O 0.3219 0.0000 0.0982 1
O11 O 0.5000 0.1783 0.8973 1
O12 O 0.0000 0.8538 0.6008 1
P2 P 0.0000 0.5000 0.9977 1
O13 O 0.1462 0.0000 0.6008 1
O14 O 0.5000 0.5000 0.6917 1
O15 O 0.0000 0.1462 0.6008 1
O16 O 0.0000 0.0000 0.3068 1
Cu1 Cu 0.5000 0.5000 0.3939 1
O17 O 0.8538 0.0000 0.6008 1
U2 U 0.5000 0.5000 0.8934 1
O18 O 0.5000 0.7526 0.4037 1
O19 O 0.6781 0.0000 0.0982 1
O20 O 0.8217 0.5000 0.8973 1
```

VASP calculation (PBE-GGA) on crystalline UCuPO at its relaxed geometry.

## Properties
Density of states at the Fermi level, states/eV per cell: 10.58
Mass density, g cm⁻³: 10.0
Volume, A^3/atom: 14.529
Formation energy (no corrections), eV per formula unit: -6.4

The structure in CIF format:
```
data_UCuPO
_chemical_formula_sum 'U2 Cu2 P2 O2'
_cell_length_a 3.7483
_cell_length_b 3.7483
_cell_length_c 8.2727
_cell_angle_alpha 90.00
_cell_angle_beta 90.00
_cell_angle_gamma 90.00
_space_group_name_H-M_alt 'P 1'
_space_group_IT_number 1
loop_
_space_group_symop_operation_xyz
'x,y,z'
loop_
_atom_site_label
_atom_site_type_symbol
_atom_site_fract_x
_atom_site_fract_y
_atom_site_fract_z
_atom_site_occupancy
P1 P 0.0000 0.5000 0.8225 1
Cu1 Cu 0.5000 0.5000 0.0000 1
O1 O 0.0000 0.0000 0.5000 1
Cu2 Cu 0.0000 0.0000 0.0000 1
O2 O 0.5000 0.5000 0.5000 1
P2 P 0.5000 0.0000 0.1775 1
U1 U 0.0000 0.5000 0.3364 1
U2 U 0.5000 0.0000 0.6636 1
```